Entry a
RhN: relaxed, PBE.

Calculated values
- Total magnetic moment: 0.00 μB/f.u.
- DOS at the Fermi energy: 1.069 states/eV/atom
- SG: No. 115

CIF file:
```
data_RhN
_cell_length_a 2.794
_cell_length_b 2.794
_cell_length_c 6.164
_cell_angle_alpha 90.00
_cell_angle_beta 90.00
_cell_angle_gamma 90.00
_space_group_name_H-M_alt 'P 1'
_space_group_IT_number 1
_space_group_name_Hall 'P 1'
loop_
_atom_site_label
_atom_site_type_symbol
_atom_site_fract_x
_atom_site_fract_y
_atom_site_fract_z
_atom_site_occupancy
Rh1 Rh 0.000 0.500 0.158 1
Rh2 Rh 0.500 0.000 0.842 1
N1 N 0.500 0.500 0.404 1
N2 N 0.500 0.500 0.596 1
```



Entry b
RhN: relaxed, PBE.

Calculated values
- Total magnetic moment: 0.00 μB/f.u.
- DOS at the Fermi energy: 0.453 states/eV/atom
- SG: No. 186

CIF file:
```
data_RhN
_cell_length_a 3.148
_cell_length_b 3.148
_cell_length_c 5.783
_cell_angle_alpha 90.00
_cell_angle_beta 90.00
_cell_angle_gamma 120.00
_space_group_name_H-M_alt 'P 1'
_space_group_IT_number 1
_space_group_name_Hall 'P 1'
loop_
_atom_site_label
_atom_site_type_symbol
_atom_site_fract_x
_atom_site_fract_y
_atom_site_fract_z
_atom_site_occupancy
Rh1 Rh 0.333 0.667 0.000 1
Rh2 Rh 0.667 0.333 0.500 1
N1 N 0.333 0.667 0.636 1
N2 N 0.667 0.333 0.136 1
```



Entry c
RhN: relaxed, PBE.

Calculated values
- Total magnetic moment: 0.00 μB/f.u.
- DOS at the Fermi energy: 0.477 states/eV/atom
- SG: No. 83

CIF file:
```
data_RhN
_cell_length_a 9.171
_cell_length_b 9.171
_cell_length_c 3.043
_cell_angle_alpha 90.00
_cell_angle_beta 90.00
_cell_angle_gamma 90.00
_space_group_name_H-M_alt 'P 1'
_space_group_IT_number 1
_space_group_name_Hall 'P 1'
loop_
_atom_site_label
_atom_site_type_symbol
_atom_site_fract_x
_atom_site_fract_y
_atom_site_fract_z
_atom_site_occupancy
Rh1 Rh 0.096 0.390 0.000 1
Rh2 Rh 0.257 0.666 0.500 1
Rh3 Rh 0.334 0.257 0.500 1
Rh4 Rh 0.390 0.904 0.000 1
Rh5 Rh 0.610 0.096 0.000 1
Rh6 Rh 0.666 0.743 0.500 1
Rh7 Rh 0.743 0.334 0.500 1
Rh8 Rh 0.904 0.610 0.000 1
N1 N 0.131 0.264 0.500 1
N2 N 0.136 0.606 0.000 1
N3 N 0.264 0.869 0.500 1
N4 N 0.394 0.136 0.000 1
N5 N 0.606 0.864 0.000 1
N6 N 0.736 0.131 0.500 1
N7 N 0.864 0.394 0.000 1
N8 N 0.869 0.736 0.500 1
```



Relative energy table, unit meV/atom: entry a 0; entry b 186; entry c 262



Entry a
RhN: relaxed, PBE.

Calculated values
- Total magnetic moment: 0.00 μB/f.u.
- DOS at the Fermi energy: 0.699 states/eV/atom
- SG: No. 223

CIF file:
```
data_RhN
_cell_length_a 5.682
_cell_length_b 5.682
_cell_length_c 5.682
_cell_angle_alpha 90.00
_cell_angle_beta 90.00
_cell_angle_gamma 90.00
_space_group_name_H-M_alt 'P 1'
_space_group_IT_number 1
_space_group_name_Hall 'P 1'
loop_
_atom_site_label
_atom_site_type_symbol
_atom_site_fract_x
_atom_site_fract_y
_atom_site_fract_z
_atom_site_occupancy
Rh1 Rh 0.000 0.250 0.500 1
Rh2 Rh 0.000 0.750 0.500 1
Rh3 Rh 0.250 0.500 0.000 1
Rh4 Rh 0.500 0.000 0.250 1
Rh5 Rh 0.500 0.000 0.750 1
Rh6 Rh 0.750 0.500 0.000 1
N1 N 0.000 0.500 0.250 1
N2 N 0.000 0.500 0.750 1
N3 N 0.250 0.000 0.500 1
N4 N 0.500 0.250 0.000 1
N5 N 0.500 0.750 0.000 1
N6 N 0.750 0.000 0.500 1
```



Entry b
RhN: relaxed, PBE.

Calculated values
- Total magnetic moment: 0.00 μB/f.u.
- DOS at the Fermi energy: 0.781 states/eV/atom
- SG: No. 187

CIF file:
```
data_RhN
_cell_length_a 3.006
_cell_length_b 3.006
_cell_length_c 2.750
_cell_angle_alpha 90.00
_cell_angle_beta 90.00
_cell_angle_gamma 120.00
_space_group_name_H-M_alt 'P 1'
_space_group_IT_number 1
_space_group_name_Hall 'P 1'
loop_
_atom_site_label
_atom_site_type_symbol
_atom_site_fract_x
_atom_site_fract_y
_atom_site_fract_z
_atom_site_occupancy
Rh1 Rh 0.000 0.000 0.000 1
N1 N 0.333 0.667 0.500 1
```



Entry c
RhN: relaxed, PBE.

Calculated values
- Total magnetic moment: 0.00 μB/f.u.
- DOS at the Fermi energy: 0.542 states/eV/atom
- SG: No. 19

CIF file:
```
data_RhN
_cell_length_a 5.338
_cell_length_b 5.536
_cell_length_c 7.081
_cell_angle_alpha 90.00
_cell_angle_beta 90.00
_cell_angle_gamma 90.00
_space_group_name_H-M_alt 'P 1'
_space_group_IT_number 1
_space_group_name_Hall 'P 1'
loop_
_atom_site_label
_atom_site_type_symbol
_atom_site_fract_x
_atom_site_fract_y
_atom_site_fract_z
_atom_site_occupancy
Rh1 Rh 0.116 0.033 0.221 1
Rh2 Rh 0.138 0.554 0.947 1
Rh3 Rh 0.362 0.446 0.447 1
Rh4 Rh 0.384 0.967 0.721 1
Rh5 Rh 0.616 0.467 0.779 1
Rh6 Rh 0.638 0.946 0.053 1
Rh7 Rh 0.862 0.054 0.553 1
Rh8 Rh 0.884 0.533 0.279 1
N1 N 0.217 0.381 0.191 1
N2 N 0.227 0.112 0.504 1
N3 N 0.273 0.888 0.004 1
N4 N 0.283 0.619 0.691 1
N5 N 0.717 0.119 0.809 1
N6 N 0.727 0.388 0.496 1
N7 N 0.773 0.612 0.996 1
N8 N 0.783 0.881 0.309 1
```



Relative energy table, unit meV/atom: entry a 81; entry b 383; entry c 0



Entry a
RhN: relaxed, PBE.

Calculated values
- Total magnetic moment: 0.00 μB/f.u.
- DOS at the Fermi energy: 0.466 states/eV/atom
- SG: No. 31

CIF file:
```
data_RhN
_cell_length_a 8.365
_cell_length_b 3.065
_cell_length_c 6.365
_cell_angle_alpha 90.00
_cell_angle_beta 90.00
_cell_angle_gamma 90.00
_space_group_name_H-M_alt 'P 1'
_space_group_IT_number 1
_space_group_name_Hall 'P 1'
loop_
_atom_site_label
_atom_site_type_symbol
_atom_site_fract_x
_atom_site_fract_y
_atom_site_fract_z
_atom_site_occupancy
Rh1 Rh 0.000 0.007 0.000 1
Rh2 Rh 0.226 0.400 0.702 1
Rh3 Rh 0.274 0.600 0.202 1
Rh4 Rh 0.500 0.993 0.500 1
Rh5 Rh 0.726 0.600 0.202 1
Rh6 Rh 0.774 0.400 0.702 1
N1 N 0.000 0.508 0.797 1
N2 N 0.240 0.106 0.017 1
N3 N 0.260 0.894 0.517 1
N4 N 0.500 0.492 0.297 1
N5 N 0.740 0.894 0.517 1
N6 N 0.760 0.106 0.017 1
```



Entry b
RhN: relaxed, PBE.

Calculated values
- Total magnetic moment: 0.00 μB/f.u.
- DOS at the Fermi energy: 0.754 states/eV/atom
- SG: No. 194

CIF file:
```
data_RhN
_cell_length_a 3.054
_cell_length_b 3.054
_cell_length_c 5.159
_cell_angle_alpha 90.00
_cell_angle_beta 90.00
_cell_angle_gamma 120.00
_space_group_name_H-M_alt 'P 1'
_space_group_IT_number 1
_space_group_name_Hall 'P 1'
loop_
_atom_site_label
_atom_site_type_symbol
_atom_site_fract_x
_atom_site_fract_y
_atom_site_fract_z
_atom_site_occupancy
Rh1 Rh 0.000 0.000 0.000 1
Rh2 Rh 0.000 0.000 0.500 1
N1 N 0.333 0.667 0.250 1
N2 N 0.667 0.333 0.750 1
```



Entry c
RhN: relaxed, PBE.

Calculated values
- Total magnetic moment: 0.00 μB/f.u.
- DOS at the Fermi energy: 0.515 states/eV/atom
- SG: No. 70

CIF file:
```
data_RhN
_cell_length_a 6.996
_cell_length_b 5.999
_cell_length_c 5.213
_cell_angle_alpha 76.86
_cell_angle_beta 56.62
_cell_angle_gamma 46.52
_space_group_name_H-M_alt 'P 1'
_space_group_IT_number 1
_space_group_name_Hall 'P 1'
loop_
_atom_site_label
_atom_site_type_symbol
_atom_site_fract_x
_atom_site_fract_y
_atom_site_fract_z
_atom_site_occupancy
Rh1 Rh 0.025 0.025 0.725 1
Rh2 Rh 0.275 0.275 0.975 1
Rh3 Rh 0.725 0.725 0.025 1
Rh4 Rh 0.975 0.975 0.275 1
N1 N 0.024 0.726 0.024 1
N2 N 0.274 0.976 0.274 1
N3 N 0.726 0.024 0.726 1
N4 N 0.976 0.274 0.976 1
```



Entry d
RhN: relaxed, PBE.

Calculated values
- Total magnetic moment: 0.00 μB/f.u.
- DOS at the Fermi energy: 0.345 states/eV/atom
- SG: No. 136

CIF file:
```
data_RhN
_cell_length_a 6.102
_cell_length_b 6.102
_cell_length_c 2.802
_cell_angle_alpha 90.00
_cell_angle_beta 90.00
_cell_angle_gamma 90.00
_space_group_name_H-M_alt 'P 1'
_space_group_IT_number 1
_space_group_name_Hall 'P 1'
loop_
_atom_site_label
_atom_site_type_symbol
_atom_site_fract_x
_atom_site_fract_y
_atom_site_fract_z
_atom_site_occupancy
Rh1 Rh 0.153 0.153 0.000 1
Rh2 Rh 0.347 0.653 0.500 1
Rh3 Rh 0.653 0.347 0.500 1
Rh4 Rh 0.847 0.847 0.000 1
N1 N 0.182 0.818 0.000 1
N2 N 0.318 0.318 0.500 1
N3 N 0.682 0.682 0.500 1
N4 N 0.818 0.182 0.000 1
```



Relative energy table, unit meV/atom: entry a 46; entry b 150; entry c 62; entry d 0



Entry a
RuRhSe2N: relaxed, PBE.

Calculated values
- Total magnetic moment: 0.00 μB/f.u.
- DOS at the Fermi energy: 0.924 states/eV/atom
- SG: No. 123

CIF file:
```
data_RuRhSe2N
_cell_length_a 4.978
_cell_length_b 4.978
_cell_length_c 3.592
_cell_angle_alpha 90.00
_cell_angle_beta 90.00
_cell_angle_gamma 90.00
_space_group_name_H-M_alt 'P 1'
_space_group_IT_number 1
_space_group_name_Hall 'P 1'
loop_
_atom_site_label
_atom_site_type_symbol
_atom_site_fract_x
_atom_site_fract_y
_atom_site_fract_z
_atom_site_occupancy
Ru1 Ru 0.000 0.000 0.000 1
Rh1 Rh 0.500 0.500 0.500 1
Se1 Se 0.000 0.500 0.000 1
Se2 Se 0.500 0.000 0.000 1
N1 N 0.000 0.000 0.500 1
```



Entry b
RuRhSe2N: relaxed, PBE.

Calculated values
- Total magnetic moment: 1.03 μB/f.u.
- DOS at the Fermi energy: 1.296 states/eV/atom
- SG: No. 123

CIF file:
```
data_RuRhSe2N
_cell_length_a 5.023
_cell_length_b 5.023
_cell_length_c 3.570
_cell_angle_alpha 90.00
_cell_angle_beta 90.00
_cell_angle_gamma 90.00
_space_group_name_H-M_alt 'P 1'
_space_group_IT_number 1
_space_group_name_Hall 'P 1'
loop_
_atom_site_label
_atom_site_type_symbol
_atom_site_fract_x
_atom_site_fract_y
_atom_site_fract_z
_atom_site_occupancy
Ru1 Ru 0.000 0.000 0.000 1
Rh1 Rh 0.500 0.500 0.500 1
Se1 Se 0.000 0.500 0.500 1
Se2 Se 0.500 0.000 0.500 1
N1 N 0.500 0.500 0.000 1
```



Relative energy table, unit meV/atom: entry a 0; entry b 260